An optimized crystal structure of RbIrRu2. Source: Alexandria via LeMat-Bulk, functional PBE-GGA.

Space-group type: I4_1/amd (141)
E_form in eV per atom: 1.347
Polymorph energy (0 for the lowest one) in eV per atom: 0.000

abc: 9.1491 9.1491 9.1491
angles: 147.64 147.64 46.42
Last column: nearest neighbours and their distance in Å.
Atoms (fractional coordinates):
Rb 0.3750 0.6250 0.7500  8 Ru 3.54, 4 Ir 3.61
Rb 0.6250 0.3750 0.2500  8 Ru 3.54, 4 Ir 3.61
Ir 0.1250 0.8750 0.2500  4 Ru 2.46
Ir 0.8750 0.1250 0.7500  4 Ru 2.46
Ru 0.0000 0.0000 0.0000  2 Ir 2.46, 2 Ru 2.55
Ru 0.0000 0.0000 0.5000  2 Ir 2.46, 2 Ru 2.55
Ru 0.0000 0.5000 0.0000  2 Ir 2.46, 2 Ru 2.55
Ru 0.5000 0.0000 0.5000  2 Ir 2.46, 2 Ru 2.55

An optimized crystal structure of Nd2H8Ru. Source: Alexandria via LeMat-Bulk, functional PBE-GGA.

Space-group type: C2/m (12)

abc: 7.1318 7.1318 4.3644
angles: 107.81 107.81 30.09
Last column: nearest neighbours and their distance in Å.
Atoms (fractional coordinates):
Nd 0.1451 0.1451 0.1459  10 H 2.26-2.50
Nd 0.8549 0.8549 0.8541  10 H 2.26-2.50
H 0.9999 0.9999 0.3209  1 H 1.56
H 0.0001 0.0001 0.6791  1 H 1.56
H 0.2389 0.2389 0.7396  2 H 2.34-2.35, 4 Nd 2.39-2.50
H 0.3920 0.3920 0.6128  1 Ru 1.71
H 0.3939 0.3939 0.1657  1 Ru 1.71
H 0.6061 0.6061 0.8343  1 Ru 1.71
H 0.6080 0.6080 0.3872  1 Ru 1.71
H 0.7611 0.7611 0.2604  2 H 2.34-2.35, 4 Nd 2.39-2.50
Ru 0.5000 0.5000 0.5000  4 H 1.71

An optimized crystal structure of Ho2Mg3Cd2. Source: Alexandria via LeMat-Bulk, functional PBE-GGA.

Space-group type: Cmmm (65)
E_form in eV per atom: -0.137
Polymorph energy (0 for the lowest one) in eV per atom: 0.047

abc: 11.0975 11.0975 3.3218
angles: 90.00 90.00 154.67
Last column: nearest neighbours and their distance in Å.
Atoms (fractional coordinates):
Ho 0.1552 0.8448 0.0000  6 Cd 3.19-3.32, 2 Ho 3.32, 5 Mg 3.36-3.45
Ho 0.8448 0.1552 0.0000  6 Cd 3.19-3.32, 2 Ho 3.32, 5 Mg 3.36-3.45
Mg 0.0000 0.0000 0.0000  10 Mg 3.32-3.33, 2 Ho 3.36
Mg 0.4281 0.5719 0.5000  1 Cd 3.04, 7 Mg 3.11-3.33
Mg 0.5719 0.4281 0.5000  1 Cd 3.04, 7 Mg 3.11-3.33
Cd 0.2880 0.7120 0.5000  2 Cd 2.94, 1 Mg 3.04, 4 Ho 3.19
Cd 0.7120 0.2880 0.5000  2 Cd 2.94, 1 Mg 3.04, 4 Ho 3.19

Number 1: raw total energy -46.0 eV per cell, calculated volume 218.6 Å³/cell, total moment 2.7 μB/cell. Number 2: raw total energy -49.6 eV per cell, calculated volume 105.6 Å³/cell, total moment 0.0 μB/cell. Number 3: raw total energy -16.7 eV per cell, calculated volume 175.0 Å³/cell, total moment 0.0 μB/cell.